Entry 1:
DFT (PBE-GGA) results for a relaxed structure of Ta2CrW.

Output
- D(E_F) (states/eV/cell) = 2.61
- ΔE_f (meV/atom) = -27

Unit cell a=5.2930 b=5.2930 c=4.4921 alpha=64.96 beta=64.96 gamma=34.82
Element x y z (fractional)
1 W 0.5108 0.5108 0.4893
2 Ta 0.9902 0.9902 0.0097
3 Ta 0.7544 0.7544 0.7457
4 Cr 0.2445 0.2445 0.2554

Entry 2:
DFT (PBE-GGA) results for a relaxed structure of Ta2CrW.

Output
- D(E_F) (states/eV/cell) = 3.30
- ΔE_f (meV/atom) = -47

Unit cell a=3.1763 b=3.1763 c=6.3534 alpha=90.00 beta=90.00 gamma=90.00
Element x y z (fractional)
1 W 0.5000 0.5000 0.2500
2 Cr 0.5000 0.5000 0.7500
3 Ta 0.0000 0.0000 0.9906
4 Ta 0.0000 0.0000 0.5094